Record 1
DFT (PBE) results for a relaxed structure of HoZn4Ni. Values from VASP.

The structure in Quantum ESPRESSO input format:
```
&SYSTEM
  ibrav = 0, nat = 6, ntyp = 3
/
ATOMIC_SPECIES
Ni 58.69 Ni.upf
Zn 65.41 Zn.upf
Ho 164.93 Ho.upf
CELL_PARAMETERS angstrom
5.148 0.000 0.000
2.574 4.458 0.000
2.574 1.486 4.203
ATOMIC_POSITIONS angstrom
Ni 0.000 0.000 0.000
Zn 5.148 2.972 0.513
Zn 5.148 1.474 2.631
Zn 6.445 3.721 2.631
Zn 3.851 3.721 2.631
Ho 2.574 1.486 1.051
```

Symmetry: No. 216
E_tot: -2.76 eV/atom
Spin magnetization: 0.00 μB/atom
ΔH_f (0 K): -107 kJ/mol of formula units
Energy above the lowest structure with this stoichiometry: 0.76 eV per formula unit
Calculated density: 8.352 g/cm³



Record 2
DFT (PBE) results for a relaxed structure of HoZn9Ni3. Values from VASP.

The structure in Quantum ESPRESSO input format:
```
&SYSTEM
  ibrav = 0, nat = 13, ntyp = 3
/
ATOMIC_SPECIES
Ho 164.93 Ho.upf
Zn 65.41 Zn.upf
Ni 58.69 Ni.upf
CELL_PARAMETERS angstrom
4.645 0.072 1.885
2.317 6.139 0.940
-0.009 0.036 6.687
ATOMIC_POSITIONS angstrom
Ho 0.000 0.000 0.000
Zn 5.142 4.892 7.276
Zn 1.811 1.355 2.236
Zn 2.848 1.391 6.345
Zn 4.104 4.856 3.167
Zn 3.758 2.137 3.871
Zn 3.194 4.110 5.642
Zn 1.569 4.074 2.982
Zn 5.384 2.173 6.531
Zn 1.158 3.069 0.470
Ni 3.481 3.105 1.413
Ni -0.005 0.018 3.343
Ni 2.318 0.054 4.286
```

Symmetry: No. 12
E_tot: -2.84 eV/atom
Spin magnetization: 0.00 μB/atom
ΔH_f (0 K): -340 kJ/mol of formula units
Calculated density: 8.139 g/cm³



Record 3
DFT (PBE) results for a relaxed structure of HoZn2Ni6. Values from VASP.

The structure in Quantum ESPRESSO input format:
```
&SYSTEM
  ibrav = 0, nat = 18, ntyp = 3
/
ATOMIC_SPECIES
Ho 164.93 Ho.upf
Zn 65.41 Zn.upf
Ni 58.69 Ni.upf
CELL_PARAMETERS angstrom
-0.820 -5.906 4.390
4.280 -0.782 5.992
-2.915 0.788 6.761
ATOMIC_POSITIONS angstrom
Ho 0.272 -2.950 8.571
Ho 0.408 -4.425 12.857
Zn 0.068 -0.738 2.143
Zn 2.208 -1.129 5.139
Zn -1.390 -0.343 5.523
Zn -0.342 -3.691 4.338
Ni -1.259 -1.154 7.701
Ni 1.804 -4.746 9.441
Ni 2.198 -1.909 7.332
Ni 0.797 -1.530 10.580
Ni -1.123 -2.629 11.987
Ni 0.933 -3.005 14.865
Ni -1.653 -3.992 9.810
Ni 1.940 -6.222 13.726
Ni 2.334 -3.384 11.617
Ni -0.117 -5.846 10.848
Ni -0.253 -4.371 6.562
Ni -1.517 -5.467 14.096
```

Symmetry: No. 227
E_tot: -4.29 eV/atom
Spin magnetization: 0.00 μB/atom
ΔH_f (0 K): 310 kJ/mol of formula units
Calculated density: 7.496 g/cm³